{"formula": "La2PrTmAs4", "functional": "GGA-PBE", "state": "relaxed", "lattice": [[7.415, 0.000, 0.000], [0.000, 4.287, 0.000], [-2.473, 0.000, 6.993]], "species": ["La", "La", "Pr", "Tm", "As", "As", "As", "As"], "frac_coords": [[0.000, 0.000, 0.000], [0.000, 0.500, 0.500], [0.500, 0.000, 0.500], [0.500, 0.500, 0.000], [0.257, 0.500, 0.246], [0.262, 0.000, 0.760], [0.738, 0.000, 0.240], [0.743, 0.500, 0.754]], "m_tot_mub_per_fu": 0.0, "formation_energy_ev_per_atom": -1.52}